First-principles (GGA-PBE) data for a relaxed NdP2Rh2 crystal, as listed in Alexandria.

Unit cell a=6.2815 b=6.2815 c=6.2249 alpha=111.38 beta=111.38 gamma=106.23
Positions (direct):
Nd 0.8750 0.6250 0.7500
Nd 0.1250 0.3750 0.2500
P 0.1809 0.3191 0.7500
P 0.4305 0.0695 0.2500
P 0.5695 0.9305 0.7500
P 0.8191 0.6809 0.2500
Rh 0.2370 0.9867 0.4732
Rh 0.4867 0.7370 0.9732
Rh 0.7630 0.0133 0.5268
Rh 0.5133 0.2630 0.0268

Output
Energy of formation = -0.945 eV per atom
N(E_F) = 6.626 states/eV per cell
Magnetization = 0.00 μB/f.u.
Symmetry = C2/c (15)

First-principles (GGA-PBE) data for a relaxed Nd3P3Rh2 crystal, as listed in Alexandria.

Unit cell a=4.1708 b=5.8258 c=14.2212 alpha=90.00 beta=90.00 gamma=110.98
Positions (direct):
Nd 0.9247 0.8494 0.3930
Nd 0.0753 0.1506 0.8930
Nd 0.9247 0.8494 0.1070
Nd 0.0753 0.1506 0.6070
Nd 0.6395 0.2790 0.2500
Nd 0.3605 0.7210 0.7500
P 0.6334 0.2668 0.4544
P 0.3666 0.7332 0.9544
P 0.6334 0.2668 0.0456
P 0.3666 0.7332 0.5456
P 0.3410 0.6819 0.2500
P 0.6590 0.3181 0.7500
Rh 0.7797 0.5594 0.9033
Rh 0.2203 0.4406 0.4033
Rh 0.7797 0.5594 0.5967
Rh 0.2203 0.4406 0.0967

Output
Energy of formation = -1.136 eV per atom
N(E_F) = 11.551 states/eV per cell
Magnetization = 0.00 μB/f.u.
Symmetry = Cmcm (63)

First-principles (GGA-PBE) data for a relaxed Nd2P3Rh5 crystal, as listed in Alexandria.

Unit cell a=3.9668 b=6.5830 c=13.2686 alpha=90.00 beta=98.60 gamma=90.00
Positions (direct):
Nd 0.4805 0.7824 0.9611
Nd 0.1781 0.7529 0.3563
Nd 0.8219 0.2529 0.6437
Nd 0.5195 0.2824 0.0389
P 0.7864 0.6945 0.5727
P 0.6116 0.5190 0.2231
P 0.0566 0.9839 0.1132
P 0.2136 0.1945 0.4273
P 0.9434 0.4839 0.8868
P 0.3884 0.0190 0.7769
Rh 0.4051 0.4018 0.8103
Rh 0.2634 0.5026 0.5268
Rh 0.7366 0.0026 0.4732
Rh 0.1209 0.2339 0.2418
Rh 0.3082 0.8752 0.6164
Rh 0.9311 0.1185 0.8623
Rh 0.6918 0.3752 0.3836
Rh 0.8791 0.7339 0.7582
Rh 0.0689 0.6185 0.1377
Rh 0.5949 0.9018 0.1897

Output
Energy of formation = -0.899 eV per atom
N(E_F) = 10.276 states/eV per cell
Magnetization = 0.00 μB/f.u.
Symmetry = Cmc2_1 (36)